No. 1
Material: La2CoNi
Method: DFT, GGA-PBE
State: relaxed

* E above lowest polymorph: 12 meV/atom
* energy of formation: -0.77 eV/f.u.
* magnetic moment: 0.0 μB per cell

Cell lengths 7.7098, 7.7097, 7.7097 Å; angles 30.34, 30.34, 30.34 degrees
With the nearest neighbours (Å) after each atom.
Positions (direct):
Ni 0.4587 0.4587 0.4587  3 Co 2.33
Co 0.7914 0.7914 0.7914  3 Ni 2.33
La 0.0391 0.0391 0.0391  3 Co 3.00, 3 Ni 3.01
La 0.2108 0.2108 0.2108  3 Ni 3.00, 3 Co 3.00


No. 2
Material: La12Co5Ni
Method: DFT, GGA-PBE
State: relaxed

* energy of formation: -2.05 eV/f.u.
* magnetic moment: 0.0 μB per cell

Cell lengths 7.0896, 7.0906, 13.1466 Å; angles 84.89, 79.74, 60.00 degrees
With the nearest neighbours (Å) after each atom.
Positions (direct):
La 0.8719 0.0000 0.3857  3 Co 2.78-2.79
La 0.1281 0.0000 0.6143  3 Co 2.78-2.79
La 0.6964 0.0000 0.8857  2 Co 2.76, 1 Ni 2.84
La 0.3036 0.0000 0.1143  2 Co 2.76, 1 Ni 2.84
La 0.3784 0.6590 0.8858  2 Co 2.76-2.77, 1 Ni 2.83
La 0.9626 0.6590 0.1142  2 Co 2.76-2.77, 1 Ni 2.83
La 0.0374 0.3410 0.8858  2 Co 2.76-2.77, 1 Ni 2.83
La 0.6216 0.3410 0.1142  2 Co 2.76-2.77, 1 Ni 2.83
La 0.4630 0.3328 0.6128  3 Co 2.78
La 0.7958 0.6672 0.6128  3 Co 2.78
La 0.2042 0.3328 0.3872  3 Co 2.78
La 0.5370 0.6672 0.3871  3 Co 2.78
Co 0.5000 0.0000 0.5000  6 La 2.78-2.79
Co 0.1663 0.6675 0.5000  6 La 2.78
Co 0.8337 0.3325 0.5000  6 La 2.78
Co 0.6667 0.6667 0.0000  6 La 2.76-2.77
Co 0.3334 0.3333 0.0000  6 La 2.76-2.77
Ni 0.0000 0.0000 0.0000  6 La 2.83-2.84


No. 3
Material: LaCo2Ni2
Method: DFT, GGA-PBE
State: relaxed

* E above lowest polymorph: 170 meV/atom
* energy of formation: 0.78 eV/f.u.
* magnetic moment: 7.3 μB per cell

Cell lengths 7.1923, 7.1923, 2.7990 Å; angles 90.00, 90.00, 90.00 degrees
With the nearest neighbours (Å) after each atom.
Positions (direct):
Ni 0.1679 0.6679 0.5000  6 Co 2.52-2.57, 2 Ni 2.80
Ni 0.6679 0.8321 0.5000  6 Co 2.52-2.57, 2 Ni 2.80
Ni 0.8321 0.3321 0.5000  6 Co 2.52-2.57, 2 Ni 2.80
Ni 0.3321 0.1679 0.5000  6 Co 2.52-2.57, 2 Ni 2.80
Co 0.3797 0.8797 0.0000  1 Co 2.45, 6 Ni 2.52-2.57
Co 0.8797 0.6203 0.0000  1 Co 2.45, 6 Ni 2.52-2.57
Co 0.6203 0.1203 0.0000  1 Co 2.45, 6 Ni 2.52-2.57
Co 0.1203 0.3797 0.0000  1 Co 2.45, 6 Ni 2.52-2.57
La 0.0000 0.0000 0.0000  2 La 2.80, 4 Co 2.86, 8 Ni 3.02
La 0.5000 0.5000 0.0000  2 La 2.80, 4 Co 2.86, 8 Ni 3.02


No. 4
Material: LaCo2Ni
Method: DFT, GGA-PBE
State: relaxed

* energy of formation: -0.42 eV/f.u.
* magnetic moment: 2.3 μB per cell

Cell lengths 4.1237, 4.1237, 5.3741 Å; angles 67.38, 67.38, 60.01 degrees
With the nearest neighbours (Å) after each atom.
Positions (direct):
Ni 0.2500 0.2500 0.2500  6 Co 2.39
Co 0.9338 0.9338 0.1988  3 Ni 2.39, 3 Co 2.43, 1 La 2.65
Co 0.5662 0.5662 0.3012  3 Ni 2.39, 3 Co 2.43, 1 La 2.65
La 0.7500 0.7500 0.7500  2 Co 2.65


No. 5
Material: La6CoNi3
Method: DFT, GGA-PBE
State: relaxed

* energy of formation: -1.91 eV/f.u.
* magnetic moment: 0.0 μB per cell

Cell lengths 6.8941, 7.4891, 10.5601 Å; angles 90.00, 91.03, 90.00 degrees
With the nearest neighbours (Å) after each atom.
Positions (direct):
La 0.3172 0.8259 0.9277  1 Co 2.67, 2 Ni 2.84-2.93
La 0.3281 0.8197 0.5820  3 Ni 2.76-3.01, 1 Co 2.81
La 0.3425 0.5586 0.2537  1 Co 2.83, 3 Ni 2.86-2.97
La 0.6575 0.4414 0.7463  1 Co 2.83, 3 Ni 2.86-2.97
La 0.6719 0.1803 0.4180  3 Ni 2.76-3.01, 1 Co 2.81
La 0.6828 0.1741 0.0723  1 Co 2.67, 2 Ni 2.84-2.93
La 0.8172 0.6741 0.4277  1 Co 2.67, 2 Ni 2.84-2.93
La 0.8281 0.6803 0.0820  3 Ni 2.76-3.01, 1 Co 2.81
La 0.8425 0.9414 0.7537  1 Co 2.83, 3 Ni 2.86-2.97
La 0.1575 0.0586 0.2463  1 Co 2.83, 3 Ni 2.86-2.97
La 0.1719 0.3197 0.9180  3 Ni 2.76-3.01, 1 Co 2.81
La 0.1828 0.3259 0.5723  1 Co 2.67, 2 Ni 2.84-2.93
Co 0.5000 0.5000 0.5000  6 La 2.67-2.83
Co 0.0000 0.0000 0.0000  6 La 2.67-2.83
Ni 0.4528 0.1106 0.7616  6 La 2.86-3.15
Ni 0.5000 0.5000 0.0000  6 La 2.76-2.94
Ni 0.5472 0.8894 0.2384  6 La 2.86-3.15
Ni 0.9528 0.3894 0.2616  6 La 2.86-3.15
Ni 0.0000 0.0000 0.5000  6 La 2.76-2.94
Ni 0.0472 0.6106 0.7384  6 La 2.86-3.15


No. 6
Material: LaCoNi
Method: DFT, GGA-PBE
State: relaxed

* energy of formation: 0.33 eV/f.u.
* magnetic moment: 1.3 μB per cell

Cell lengths 5.3208, 5.3208, 5.3208 Å; angles 143.08, 142.82, 53.41 degrees
With the nearest neighbours (Å) after each atom.
Positions (direct):
Co 0.0537 0.0537 0.0000  4 Ni 2.46, 1 La 2.62
La 0.3297 0.3297 0.0000  1 Co 2.62, 1 Ni 2.73
Ni 0.6165 0.6165 0.0000  4 Co 2.46, 1 La 2.73


No. 7
Material: La4CoNi
Method: DFT, GGA-PBE
State: relaxed

* E above lowest polymorph: 1077 meV/atom
* energy of formation: 5.59 eV/f.u.
* magnetic moment: 1.4 μB per cell

Cell lengths 6.2272, 6.2272, 6.2272 Å; angles 60.00, 60.00, 60.00 degrees
With the nearest neighbours (Å) after each atom.
Positions (direct):
La 0.8745 0.3752 0.3752  6 La 3.11-3.12
La 0.3752 0.3752 0.8745  6 La 3.11-3.12
La 0.3752 0.8745 0.3752  6 La 3.11-3.12
La 0.3752 0.3752 0.3752  6 La 3.11-3.12
Co 0.0000 0.0000 0.0000  12 La 3.65, 4 Ni 3.81
Ni 0.7500 0.7500 0.7500  12 La 3.65, 4 Co 3.81


No. 8
Material: La3Co2Ni4
Method: DFT, GGA-PBE
State: relaxed

* energy of formation: -2.03 eV/f.u.
* magnetic moment: 0.0 μB per cell

Cell lengths 4.0243, 5.7430, 8.0857 Å; angles 99.28, 90.00, 110.51 degrees
With the nearest neighbours (Å) after each atom.
Positions (direct):
La 0.6675 0.3350 0.6652  8 Ni 3.08-3.13, 4 Co 3.09-3.10
La 0.0000 0.0000 0.0000  8 Ni 3.08-3.11, 4 Co 3.09
La 0.3325 0.6650 0.3348  8 Ni 3.08-3.13, 4 Co 3.09-3.10
Co 0.6103 0.2206 0.2774  3 Ni 2.30-2.31
Co 0.3897 0.7794 0.7226  3 Ni 2.30-2.31
Ni 0.7211 0.4422 0.0576  1 Co 2.30, 2 Ni 2.35
Ni 0.2789 0.5578 0.9424  1 Co 2.30, 2 Ni 2.35
Ni 0.9442 0.8885 0.6134  2 Co 2.31, 1 Ni 2.36
Ni 0.0558 0.1115 0.3866  2 Co 2.31, 1 Ni 2.36


No. 9
Material: La2Co2Ni15
Method: DFT, GGA-PBE
State: relaxed

* energy of formation: -2.80 eV/f.u.
* magnetic moment: 9.5 μB per cell

Cell lengths 6.3343, 6.3343, 6.3343 Å; angles 82.99, 82.99, 82.99 degrees
With the nearest neighbours (Å) after each atom.
Positions (direct):
La 0.3424 0.3424 0.3424  18 Ni 3.00-3.24, 1 Co 3.06
La 0.6576 0.6576 0.6576  18 Ni 3.00-3.24, 1 Co 3.06
Co 0.0922 0.0922 0.0922  1 Co 2.26
Co 0.9078 0.9078 0.9078  1 Co 2.26
Ni 0.5000 0.0000 0.0000  8 Ni 2.40, 2 Co 2.59
Ni 0.0000 0.0000 0.5000  8 Ni 2.40, 2 Co 2.59
Ni 0.0000 0.5000 0.0000  8 Ni 2.40, 2 Co 2.59
Ni 0.0000 0.7101 0.2899  8 Ni 2.40-2.60, 2 Co 2.68
Ni 0.7101 0.2899 0.0000  8 Ni 2.40-2.60, 2 Co 2.68
Ni 0.2899 0.0000 0.7101  8 Ni 2.40-2.60, 2 Co 2.68
Ni 0.2899 0.7101 0.0000  8 Ni 2.40-2.60, 2 Co 2.68
Ni 0.7101 0.0000 0.2899  8 Ni 2.40-2.60, 2 Co 2.68
Ni 0.0000 0.2899 0.7101  8 Ni 2.40-2.60, 2 Co 2.68
Ni 0.1501 0.6594 0.6594  8 Ni 2.40-2.60, 1 Co 2.60
Ni 0.6594 0.6594 0.1501  8 Ni 2.40-2.60, 1 Co 2.60
Ni 0.6594 0.1501 0.6594  8 Ni 2.40-2.60, 1 Co 2.60
Ni 0.8499 0.3406 0.3406  8 Ni 2.40-2.60, 1 Co 2.60
Ni 0.3406 0.3406 0.8499  8 Ni 2.40-2.60, 1 Co 2.60
Ni 0.3406 0.8499 0.3406  8 Ni 2.40-2.60, 1 Co 2.60


No. 10
Material: La3Co2Ni7
Method: DFT, GGA-PBE
State: relaxed

* energy of formation: -3.03 eV/f.u.
* magnetic moment: 3.2 μB per cell

Cell lengths 5.0489, 5.0489, 8.8790 Å; angles 73.48, 73.48, 60.00 degrees
With the nearest neighbours (Å) after each atom.
Positions (direct):
La 0.0000 0.0000 0.0000  6 Co 2.92, 12 Ni 3.23
La 0.8622 0.8622 0.4134  12 Ni 2.92-3.26, 3 La 3.26
La 0.1378 0.1378 0.5866  12 Ni 2.92-3.26, 3 La 3.26
Co 0.6678 0.6678 0.9965  6 Ni 2.46-2.50
Co 0.3322 0.3322 0.0035  6 Ni 2.46-2.50
Ni 0.5000 0.5000 0.5000  6 Ni 2.62
Ni 0.9187 0.4209 0.2394  2 Co 2.46-2.50, 5 Ni 2.51-2.62
Ni 0.4209 0.9187 0.2394  2 Co 2.46-2.50, 5 Ni 2.51-2.62
Ni 0.4209 0.4209 0.2394  2 Co 2.46-2.50, 5 Ni 2.51-2.62
Ni 0.0813 0.5791 0.7606  2 Co 2.46-2.50, 5 Ni 2.51-2.62
Ni 0.5791 0.5791 0.7606  2 Co 2.46-2.50, 5 Ni 2.51-2.62
Ni 0.5791 0.0813 0.7606  2 Co 2.46-2.50, 5 Ni 2.51-2.62


No. 11
Material: La6CoNi
Method: DFT, GGA-PBE
State: relaxed

* energy of formation: -0.42 eV/f.u.
* magnetic moment: 0.0 μB per cell

Cell lengths 7.2137, 7.2137, 10.8080 Å; angles 103.71, 114.45, 91.42 degrees
With the nearest neighbours (Å) after each atom.
Positions (direct):
La 0.1750 0.7947 0.9697  2 Ni 2.60
La 0.8250 0.2053 0.0303  2 Ni 2.60
La 0.8289 0.7187 0.5476  2 Co 2.61
La 0.1711 0.2813 0.4524  2 Co 2.61
La 0.7567 0.2752 0.6633  1 Co 2.82, 2 La 3.16
La 0.2433 0.7248 0.3367  1 Co 2.82, 2 La 3.16
La 0.3881 0.9066 0.6633  1 Co 2.82, 2 La 3.16
La 0.6119 0.0934 0.3367  1 Co 2.82, 2 La 3.16
La 0.7731 0.7584 0.1706  2 Ni 3.00-3.25, 3 La 3.16-3.25, 1 Co 3.24
La 0.2269 0.2416 0.8294  2 Ni 3.00-3.25, 3 La 3.16-3.25, 1 Co 3.24
La 0.5878 0.6024 0.8294  2 Ni 3.00-3.25, 3 La 3.16-3.25, 1 Co 3.24
La 0.4122 0.3976 0.1706  2 Ni 3.00-3.25, 3 La 3.16-3.25, 1 Co 3.24
Co 0.0000 0.0000 0.5000  4 La 2.61-2.82
Co 0.5000 0.5000 0.5000  4 La 2.61-2.82
Ni 0.0000 0.5000 0.0000  2 La 2.60
Ni 0.5000 0.0000 0.0000  2 La 2.60


No. 12
Material: La2CoNi
Method: DFT, GGA-PBE
State: relaxed

* E above lowest polymorph: 278 meV/atom
* energy of formation: 0.30 eV/f.u.
* magnetic moment: 1.0 μB per cell

Cell lengths 3.4720, 3.4720, 7.7924 Å; angles 90.00, 90.00, 90.00 degrees
With the nearest neighbours (Å) after each atom.
Positions (direct):
Co 0.5000 0.5000 0.6729  1 La 2.50, 4 Ni 2.59
La 0.0000 0.0000 0.9082  1 Ni 2.66
La 0.5000 0.5000 0.3519  1 Co 2.50
Ni 0.0000 0.0000 0.5670  4 Co 2.59, 1 La 2.66